First-principles (PBE) data for an optimized crystal structure of ScCd2Tc, as listed in the Alexandria database.

Results
**Crystal system**: orthorhombic
**Density of states at the Fermi level**: 5.68 states/eV per cell
**Formation energy from the elements**: -0.08 eV per formula unit

The structure in CIF format:
```
data_ScCd2Tc
_symmetry_space_group_name_H-M 'I m m m'
_symmetry_Int_Tables_number 71
_symmetry_space_group_name_Hall '-I 2 2'
_cell_length_a 4.0356
_cell_length_b 4.0505
_cell_length_c 9.1247
_cell_angle_alpha 90.00
_cell_angle_beta 90.00
_cell_angle_gamma 90.00
loop_
_atom_site_label
_atom_site_fract_x
_atom_site_fract_y
_atom_site_fract_z
Sc1 0.0000 0.0000 0.0000
Cd1 0.0000 0.5000 0.2498
Tc1 0.0000 0.0000 0.5000
```